Density functional theory data (PBE-GGA) for an optimized crystal structure of Zr6OsRh.

Calculated values
Relative energy among the computed polymorphs   0.0 meV per atom
Symmetry   No. 139
Uncorrected energy   -9.060 eV per atom
ΔH_f (0 K)   -326 meV per atom

Structure (CIF):
```
data_Zr6OsRh
_chemical_formula_sum 'Zr6 Os1 Rh1'
_cell_length_a 8.1350
_cell_length_b 8.1350
_cell_length_c 8.1350
_cell_angle_alpha 146.53
_cell_angle_beta 146.53
_cell_angle_gamma 48.05
_symmetry_space_group_name_H-M 'P 1'
_symmetry_Int_Tables_number 1
loop_
_symmetry_equiv_pos_as_xyz
'x,y,z'
loop_
_atom_site_label
_atom_site_type_symbol
_atom_site_fract_x
_atom_site_fract_y
_atom_site_fract_z
Zr1 Zr 0.1094 0.6094 0.5000
Zr2 Zr 0.2491 0.2491 0.0000
Zr3 Zr 0.3906 0.8906 0.5000
Zr4 Zr 0.6094 0.1094 0.5000
Zr5 Zr 0.7509 0.7509 0.0000
Zr6 Zr 0.8906 0.3906 0.5000
Os1 Os 0.0000 0.0000 0.0000
Rh1 Rh 0.5000 0.5000 0.0000
```